(1)
Entry from Alexandria: ReAu2Br at its PBEsol-relaxed geometry (SCAN).

Properties
For the offset from the most stable computed form, the calculation gives 0.000 eV per atom. The uncorrected formation energy comes out at 0.69 eV per atom.

Cell: 2.935 2.935 9.829 Å, 90.00 90.00 121.79°
Fractional coordinates of all 4 atoms:
Re (0.000, 0.000, 0.000)
Au (0.000, 0.000, 0.485)
Au (0.500, 0.500, 0.237)
Br (0.500, 0.500, 0.789)

***

(2)
Entry from Alexandria: ScMn3 at its PBEsol-relaxed geometry (SCAN).

Properties
The value obtained for the formation energy is 1.67 eV per formula unit.

Cell: 2.640 2.640 8.314 Å, 90.00 90.00 120.00°
Fractional coordinates of all 4 atoms:
Sc (0.000, 0.000, 0.000)
Mn (0.000, 0.000, 0.500)
Mn (0.333, 0.667, 0.280)
Mn (0.333, 0.667, 0.720)

***

(3)
Entry from Alexandria: Bi2SeO6 at its PBEsol-relaxed geometry (SCAN).

Properties
The uncorrected formation energy comes out at -0.89 eV per atom.

Cell: 8.386 8.386 5.307 Å, 90.00 90.00 143.28°
Fractional coordinates of all 18 atoms:
Bi (0.168, 0.832, 0.997)
Bi (0.332, 0.668, 0.497)
Bi (0.668, 0.332, 0.503)
Bi (0.832, 0.168, 0.003)
Se (0.000, 0.000, 0.500)
Se (0.500, 0.500, 0.000)
O (0.001, 0.499, 0.750)
O (0.107, 0.893, 0.431)
O (0.218, 0.282, 0.250)
O (0.282, 0.218, 0.750)
O (0.393, 0.607, 0.931)
O (0.499, 0.001, 0.250)
O (0.501, 0.999, 0.750)
O (0.607, 0.393, 0.069)
O (0.718, 0.782, 0.250)
O (0.782, 0.718, 0.750)
O (0.893, 0.107, 0.569)
O (0.999, 0.501, 0.250)

***

(4)
Entry from Alexandria: BaHgMo2 at its PBEsol-relaxed geometry (SCAN).

Properties
The value obtained for the formation energy is 4.95 eV per formula unit.

Cell: 2.907 5.310 5.433 Å, 90.00 90.00 90.00°
Fractional coordinates of all 4 atoms:
Ba (0.000, 0.000, 0.000)
Hg (0.500, 0.000, 0.500)
Mo (0.000, 0.500, 0.500)
Mo (0.500, 0.500, 0.000)

***

(5)
Entry from Alexandria: KCd2Ir at its PBEsol-relaxed geometry (SCAN).

Properties
The value obtained for the formation energy is 0.62 eV per formula unit.

Cell: 8.105 8.105 4.518 Å, 106.17 106.17 21.24°
Fractional coordinates of all 4 atoms:
K (0.000, 0.000, 0.000)
Cd (0.184, 0.184, 0.685)
Cd (0.338, 0.338, 0.337)
Ir (0.690, 0.690, 0.191)

***

(6)
Entry from Alexandria: Mn2CuP at its PBEsol-relaxed geometry (SCAN).

Properties
The value obtained for the formation energy is -0.61 eV per formula unit.

Cell: 2.649 3.274 5.239 Å, 90.00 97.93 90.00°
Fractional coordinates of all 4 atoms:
Mn (0.072, 0.000, 0.269)
Mn (0.928, 0.000, 0.731)
Cu (0.500, 0.500, 0.000)
P (0.500, 0.500, 0.500)

***

(7)
Entry from Alexandria: CaOsO2 at its PBEsol-relaxed geometry (SCAN).

Properties
The uncorrected formation energy comes out at -0.95 eV per atom.

Cell: 5.865 5.865 5.865 Å, 34.22 34.22 34.22°
Fractional coordinates of all 4 atoms:
Ca (0.000, 0.000, 0.000)
Os (0.500, 0.500, 0.500)
O (0.129, 0.129, 0.129)
O (0.871, 0.871, 0.871)

***

(8)
Entry from Alexandria: Eu2ZnIn at its PBEsol-relaxed geometry (SCAN).

Properties
The value obtained for the formation energy is -1.73 eV per formula unit.

Cell: 5.335 5.335 5.335 Å, 60.00 60.00 60.00°
Fractional coordinates of all 4 atoms:
Eu (0.250, 0.250, 0.250)
Eu (0.750, 0.750, 0.750)
Zn (0.000, 0.000, 0.000)
In (0.500, 0.500, 0.500)

***

Number 1: spin magnetization 0.23 μB per atom. Number 2: spin magnetization 1.07 μB per atom. Number 3: spin magnetization 0.00 μB per atom. Number 4: spin magnetization 0.00 μB per atom. Number 5: spin magnetization 0.00 μB per atom. Number 6: spin magnetization 1.18 μB per atom. Number 7: spin magnetization 0.00 μB per atom. Number 8: spin magnetization 3.58 μB per atom.